1.
Entry from the Alexandria database: ZrIn2Ni at its PBEsol-relaxed geometry (meta-GGA SCAN).

Computed properties:
Crystal system: tetragonal
Volume (Å³/atom): 19.1
E_tot (eV/atom): -28.59

Cell: 3.1555 3.1555 7.6787 Å, 90.00 90.00 90.00°
Sites, in units of the cell vectors:
Zr 0.0000 0.0000 0.0000
In 0.0000 0.0000 0.5968
In 0.5000 0.5000 0.2889
Ni 0.5000 0.5000 0.8064

2.
Entry from the Alexandria database: ZrInNi6 at its PBEsol-relaxed geometry (meta-GGA SCAN).

Computed properties:
Crystal system: orthorhombic
Volume (Å³/atom): 12.5
E_tot (eV/atom): -20.36

Cell: 6.3818 6.3818 10.4163 Å, 90.00 90.00 109.49°
Sites, in units of the cell vectors:
Zr 0.0000 0.0000 0.2486
Zr 0.0000 0.0000 0.7514
Zr 0.2478 0.7522 0.5000
Zr 0.7522 0.2478 0.5000
In 0.2469 0.7531 0.0000
In 0.5000 0.5000 0.2501
In 0.5000 0.5000 0.7499
In 0.7531 0.2469 0.0000
Ni 0.0000 0.0000 0.0000
Ni 0.0000 0.0000 0.5000
Ni 0.1244 0.3752 0.3753
Ni 0.1244 0.3752 0.6247
Ni 0.1264 0.3761 0.1256
Ni 0.1264 0.3761 0.8744
Ni 0.2488 0.7512 0.2507
Ni 0.2488 0.7512 0.7493
Ni 0.3752 0.1244 0.3753
Ni 0.3752 0.1244 0.6247
Ni 0.3761 0.1264 0.1256
Ni 0.3761 0.1264 0.8744
Ni 0.5000 0.5000 0.0000
Ni 0.5000 0.5000 0.5000
Ni 0.6239 0.8736 0.1256
Ni 0.6239 0.8736 0.8744
Ni 0.6248 0.8756 0.3753
Ni 0.6248 0.8756 0.6247
Ni 0.7512 0.2488 0.2507
Ni 0.7512 0.2488 0.7493
Ni 0.8736 0.6239 0.1256
Ni 0.8736 0.6239 0.8744
Ni 0.8756 0.6248 0.3753
Ni 0.8756 0.6248 0.6247

3.
Entry from the Alexandria database: ZrIn3Ni at its PBEsol-relaxed geometry (meta-GGA SCAN).

Computed properties:
Crystal system: cubic
Volume (Å³/atom): 21.6
E_tot (eV/atom): -29.23

Cell: 4.7643 4.7643 4.7643 Å, 90.00 90.00 90.00°
Sites, in units of the cell vectors:
Zr 0.0000 0.0000 0.0000
In 0.0000 0.5000 0.5000
In 0.5000 0.0000 0.5000
In 0.5000 0.5000 0.0000
Ni 0.5000 0.5000 0.5000

4.
Entry from the Alexandria database: ZrIn2Ni2 at its PBEsol-relaxed geometry (meta-GGA SCAN).

Computed properties:
Crystal system: tetragonal
Volume (Å³/atom): 17.6
E_tot (eV/atom): -25.96

Cell: 6.4938 6.4938 6.4938 Å, 145.42 145.42 49.70°
Sites, in units of the cell vectors:
Zr 0.0000 0.0000 0.0000
In 0.3837 0.3837 0.0000
In 0.6163 0.6163 0.0000
Ni 0.2500 0.7500 0.5000
Ni 0.7500 0.2500 0.5000

5.
Entry from the Alexandria database: Zr2In5Ni at its PBEsol-relaxed geometry (meta-GGA SCAN).

Computed properties:
Crystal system: tetragonal
Volume (Å³/atom): 20.9
E_tot (eV/atom): -30.98

Cell: 9.9921 9.9921 6.6924 Å, 90.00 90.00 90.00°
Sites, in units of the cell vectors:
Zr 0.1622 0.1622 0.0000
Zr 0.1983 0.1983 0.5000
Zr 0.3017 0.6983 0.0000
Zr 0.3378 0.6622 0.5000
Zr 0.6622 0.3378 0.5000
Zr 0.6983 0.3017 0.0000
Zr 0.8017 0.8017 0.5000
Zr 0.8378 0.8378 0.0000
In 0.0000 0.0000 0.2975
In 0.0000 0.0000 0.7025
In 0.0587 0.7007 0.2781
In 0.0587 0.7007 0.7219
In 0.2007 0.4413 0.2219
In 0.2007 0.4413 0.7781
In 0.2993 0.9413 0.2781
In 0.2993 0.9413 0.7219
In 0.4413 0.2007 0.2219
In 0.4413 0.2007 0.7781
In 0.5000 0.5000 0.2025
In 0.5000 0.5000 0.7975
In 0.5587 0.7993 0.2219
In 0.5587 0.7993 0.7781
In 0.7007 0.0587 0.2781
In 0.7007 0.0587 0.7219
In 0.7993 0.5587 0.2219
In 0.7993 0.5587 0.7781
In 0.9413 0.2993 0.2781
In 0.9413 0.2993 0.7219
Ni 0.1142 0.8858 0.0000
Ni 0.3858 0.3858 0.5000
Ni 0.6142 0.6142 0.5000
Ni 0.8858 0.1142 0.0000

6.
Entry from the Alexandria database: ZrIn2Ni at its PBEsol-relaxed geometry (meta-GGA SCAN).

Computed properties:
Crystal system: orthorhombic
Volume (Å³/atom): 19.1
E_tot (eV/atom): -28.53

Cell: 5.6887 5.6887 5.6887 Å, 145.14 132.73 60.06°
Sites, in units of the cell vectors:
Zr 0.0000 0.0000 0.0000
In 0.2883 0.7883 0.5000
In 0.5809 0.5809 0.0000
Ni 0.7954 0.2954 0.5000

7.
Entry from the Alexandria database: RbInOsO2 at its PBEsol-relaxed geometry (meta-GGA SCAN).

Computed properties:
Crystal system: tetragonal
Volume (Å³/atom): 20.2
Formation energy (no corrections) (eV per atom): 0.6278
E_tot (eV/atom): -27.07

Cell: 4.3690 4.3690 5.2785 Å, 90.00 90.00 90.00°
Sites, in units of the cell vectors:
Rb 0.0000 0.0000 0.0000
In 0.5000 0.5000 0.5000
Os 0.5000 0.5000 0.0000
O 0.0000 0.5000 0.5000
O 0.5000 0.0000 0.5000

8.
Entry from the Alexandria database: InP2O2 at its PBEsol-relaxed geometry (meta-GGA SCAN).

Computed properties:
Crystal system: tetragonal
Volume (Å³/atom): 19.6
Formation energy (no corrections) (eV per atom): 1.2373
E_tot (eV/atom): -12.09

Cell: 5.0021 5.0021 3.9100 Å, 90.00 90.00 90.00°
Sites, in units of the cell vectors:
In 0.0000 0.0000 0.0000
P 0.0000 0.5000 0.0000
P 0.5000 0.0000 0.0000
O 0.0000 0.0000 0.5000
O 0.5000 0.5000 0.5000

9.
Entry from the Alexandria database: InP3O9 at its PBEsol-relaxed geometry (meta-GGA SCAN).

Computed properties:
Crystal system: monoclinic
Volume (Å³/atom): 13.4
Formation energy (no corrections) (eV per atom): -2.3206
E_tot (eV/atom): -11.60

Cell: 11.9854 11.9854 9.7274 Å, 109.99 109.99 110.81°
Sites, in units of the cell vectors:
In 0.0781 0.9219 0.5000
In 0.2253 0.7389 0.9652
In 0.4113 0.5914 0.5006
In 0.5914 0.4113 0.0006
In 0.7389 0.2253 0.4652
In 0.9219 0.0781 0.0000
P 0.0001 0.2735 0.8175
P 0.1485 0.5470 0.1489
P 0.2060 0.4813 0.6536
P 0.2387 0.2882 0.7762
P 0.2735 0.0001 0.3175
P 0.2882 0.2387 0.2762
P 0.3309 0.9419 0.8079
P 0.4813 0.2060 0.1536
P 0.5470 0.1485 0.6489
P 0.5616 0.9422 0.7559
P 0.5843 0.8666 0.2066
P 0.6186 0.6744 0.3341
P 0.6744 0.6186 0.8341
P 0.8241 0.8852 0.1694
P 0.8666 0.5843 0.7066
P 0.8852 0.8241 0.6694
P 0.9419 0.3309 0.3079
P 0.9422 0.5616 0.2559
O 0.0103 0.6761 0.8653
O 0.0177 0.9065 0.6782
O 0.0246 0.4077 0.9663
O 0.0601 0.6001 0.2092
O 0.0736 0.3608 0.4647
O 0.1408 0.1498 0.1258
O 0.1470 0.9320 0.3271
O 0.1498 0.1408 0.6258
O 0.1576 0.5381 0.7682
O 0.1586 0.3207 0.8719
O 0.2232 0.5112 0.2684
O 0.2374 0.6564 0.1276
O 0.2427 0.8115 0.7985
O 0.2621 0.9275 0.1497
O 0.2626 0.3920 0.7061
O 0.2713 0.9472 0.6487
O 0.3140 0.5862 0.6460
O 0.3207 0.1586 0.3719
O 0.3386 0.3785 0.4195
O 0.3608 0.0736 0.9647
O 0.3785 0.3386 0.9195
O 0.3920 0.2626 0.2061
O 0.4077 0.0246 0.4663
O 0.4446 0.8227 0.0705
O 0.4611 0.8018 0.5903
O 0.4858 0.9739 0.8595
O 0.5112 0.2232 0.7684
O 0.5142 0.5859 0.3615
O 0.5381 0.1576 0.2682
O 0.5587 0.7554 0.2654
O 0.5862 0.3140 0.1460
O 0.5859 0.5142 0.8615
O 0.6001 0.0601 0.7092
O 0.6019 0.6591 0.7199
O 0.6564 0.2374 0.6276
O 0.6591 0.6019 0.2199
O 0.6649 0.8407 0.1080
O 0.6761 0.0103 0.3653
O 0.6974 0.9718 0.8821
O 0.7554 0.5587 0.7654
O 0.7564 0.8027 0.5166
O 0.8018 0.4611 0.0903
O 0.8027 0.7564 0.0166
O 0.8115 0.2427 0.2985
O 0.8227 0.4446 0.5705
O 0.8407 0.6649 0.6080
O 0.8843 0.8854 0.3323
O 0.8854 0.8843 0.8323
O 0.9065 0.0177 0.1782
O 0.9275 0.2621 0.6497
O 0.9320 0.1470 0.8271
O 0.9472 0.2713 0.1487
O 0.9718 0.6974 0.3821
O 0.9739 0.4858 0.3595

10.
Entry from the Alexandria database: In2P2O7 at its PBEsol-relaxed geometry (meta-GGA SCAN).

Computed properties:
Crystal system: monoclinic
Volume (Å³/atom): 14.6
Formation energy (no corrections) (eV per atom): -2.1635
E_tot (eV/atom): -14.09

Cell: 7.5104 10.5058 8.4986 Å, 90.00 106.46 90.00°
Sites, in units of the cell vectors:
In 0.1664 0.1777 0.0631
In 0.1664 0.3223 0.5631
In 0.2387 0.5992 0.2598
In 0.2387 0.9008 0.7598
In 0.7613 0.0992 0.2402
In 0.7613 0.4008 0.7402
In 0.8336 0.6777 0.4369
In 0.8336 0.8223 0.9369
P 0.1307 0.5990 0.8260
P 0.1307 0.9010 0.3260
P 0.4394 0.6383 0.6923
P 0.4394 0.8617 0.1923
P 0.5606 0.1383 0.8077
P 0.5606 0.3617 0.3077
P 0.8693 0.0990 0.6740
P 0.8693 0.4010 0.1740
O 0.0104 0.0047 0.2184
O 0.0104 0.4953 0.7184
O 0.0710 0.7307 0.7486
O 0.0710 0.7693 0.2486
O 0.1309 0.5936 0.0025
O 0.1309 0.9064 0.5025
O 0.3142 0.6061 0.5224
O 0.3142 0.8939 0.0224
O 0.3402 0.5726 0.8193
O 0.3402 0.9274 0.3193
O 0.3667 0.0805 0.7659
O 0.3667 0.4195 0.2659
O 0.4585 0.7192 0.2336
O 0.4585 0.7808 0.7336
O 0.5415 0.2192 0.2664
O 0.5415 0.2808 0.7664
O 0.6333 0.5805 0.7341
O 0.6333 0.9195 0.2341
O 0.6598 0.0726 0.6807
O 0.6598 0.4274 0.1807
O 0.6858 0.1061 0.9776
O 0.6858 0.3939 0.4776
O 0.8691 0.0936 0.4975
O 0.8691 0.4064 0.9975
O 0.9290 0.2307 0.7514
O 0.9290 0.2693 0.2514
O 0.9896 0.5047 0.2816
O 0.9896 0.9953 0.7816

11.
Entry from the Alexandria database: In3P2O8 at its PBEsol-relaxed geometry (meta-GGA SCAN).

Computed properties:
Crystal system: cubic
Volume (Å³/atom): 13.3
Formation energy (no corrections) (eV per atom): -2.1119
E_tot (eV/atom): -15.25

Cell: 9.6493 9.6493 9.6493 Å, 109.47 109.47 109.47°
Sites, in units of the cell vectors:
In 0.0057 0.7557 0.2500
In 0.2443 0.9943 0.2500
In 0.2500 0.0057 0.7557
In 0.2500 0.2443 0.9943
In 0.2557 0.5057 0.7500
In 0.4943 0.7443 0.7500
In 0.5057 0.7500 0.2557
In 0.7443 0.7500 0.4943
In 0.7500 0.2557 0.5057
In 0.7500 0.4943 0.7443
In 0.7557 0.2500 0.0057
In 0.9943 0.2500 0.2443
P 0.0000 0.0892 0.5000
P 0.0000 0.5892 0.5000
P 0.0892 0.5000 0.0000
P 0.4108 0.4108 0.4108
P 0.5000 0.0000 0.0892
P 0.5000 0.0000 0.5892
P 0.5892 0.5000 0.0000
P 0.9108 0.9108 0.9108
O 0.0000 0.4253 0.5000
O 0.0000 0.9253 0.5000
O 0.0046 0.5846 0.3404
O 0.0747 0.0747 0.0747
O 0.0800 0.3358 0.9954
O 0.0846 0.5046 0.8404
O 0.1596 0.7442 0.6642
O 0.1642 0.2442 0.6596
O 0.2442 0.6596 0.1642
O 0.2558 0.4200 0.4154
O 0.3358 0.9954 0.0800
O 0.3404 0.0046 0.5846
O 0.4154 0.2558 0.4200
O 0.4200 0.4154 0.2558
O 0.4253 0.5000 0.0000
O 0.4954 0.8358 0.5800
O 0.5000 0.0000 0.4253
O 0.5000 0.0000 0.9253
O 0.5046 0.8404 0.0846
O 0.5747 0.5747 0.5747
O 0.5800 0.4954 0.8358
O 0.5846 0.3404 0.0046
O 0.6596 0.1642 0.2442
O 0.6642 0.1596 0.7442
O 0.7442 0.6642 0.1596
O 0.7558 0.9154 0.9200
O 0.8358 0.5800 0.4954
O 0.8404 0.0846 0.5046
O 0.9154 0.9200 0.7558
O 0.9200 0.7558 0.9154
O 0.9253 0.5000 0.0000
O 0.9954 0.0800 0.3358

12.
Entry from the Alexandria database: InP2PbO8 at its PBEsol-relaxed geometry (meta-GGA SCAN).

Computed properties:
Crystal system: monoclinic
Volume (Å³/atom): 13.5
Formation energy (no corrections) (eV per atom): -2.0388
E_tot (eV/atom): -17.02

Cell: 6.6334 11.0009 9.6841 Å, 90.00 113.48 90.00°
Sites, in units of the cell vectors:
In 0.1277 0.0806 0.2977
In 0.1277 0.4194 0.7977
In 0.8723 0.5806 0.2023
In 0.8723 0.9194 0.7023
P 0.1061 0.1391 0.9526
P 0.1061 0.3609 0.4526
P 0.3433 0.5373 0.1587
P 0.3433 0.9627 0.6587
P 0.6567 0.0373 0.3413
P 0.6567 0.4627 0.8413
P 0.8939 0.6391 0.5474
P 0.8939 0.8609 0.0474
Pb 0.4040 0.6581 0.5375
Pb 0.4040 0.8419 0.0375
Pb 0.5960 0.1581 0.9625
Pb 0.5960 0.3419 0.4625
O 0.0177 0.1664 0.0767
O 0.0177 0.3336 0.5767
O 0.0887 0.5871 0.6818
O 0.0887 0.9129 0.1818
O 0.1965 0.5273 0.9912
O 0.1965 0.9727 0.4912
O 0.2028 0.2456 0.4150
O 0.2028 0.2544 0.9150
O 0.2162 0.6036 0.2418
O 0.2162 0.8964 0.7418
O 0.3106 0.0522 0.0107
O 0.3106 0.4478 0.5107
O 0.4212 0.0912 0.7210
O 0.4212 0.4088 0.2210
O 0.4617 0.1229 0.3253
O 0.4617 0.3771 0.8253
O 0.5383 0.6229 0.1747
O 0.5383 0.8771 0.6747
O 0.5788 0.5912 0.7790
O 0.5788 0.9088 0.2790
O 0.6894 0.5522 0.4893
O 0.6894 0.9478 0.9893
O 0.7838 0.1036 0.2582
O 0.7838 0.3964 0.7582
O 0.7972 0.7456 0.0850
O 0.7972 0.7544 0.5850
O 0.8035 0.0273 0.5088
O 0.8035 0.4727 0.0088
O 0.9113 0.0871 0.8182
O 0.9113 0.4129 0.3182
O 0.9823 0.6664 0.4233
O 0.9823 0.8336 0.9233

Which formula does entry 11 have?
In3P2O8

volume of number 3 (ZrIn3Ni)?
21.6 Å³/atom

The lowest E_tot belongs to which entry?
Zr2In5Ni